! LiTcNi2 | Alexandria | PBE | optimized geometry; values from VASP
! Density   7957 kg/m3
! ΔE_f   204.8 meV per atom
! Calculated total energy   -5.76 eV per atom
! Total magnetic moment   0.018 Bohr magnetons per cell
&SYSTEM
  ibrav = 0, nat = 4, ntyp = 3
/
ATOMIC_SPECIES
Li 6.94 Li.upf
Tc 98.00 Tc.upf
Ni 58.69 Ni.upf
ATOMIC_POSITIONS crystal
Li 0.0000 0.0000 0.0000
Tc 0.2500 0.2500 0.2500
Ni 0.5000 0.5000 0.5000
Ni 0.7500 0.7500 0.7500
CELL_PARAMETERS angstrom
0.0000 2.8521 2.8521
2.8521 0.0000 2.8521
2.8521 2.8521 0.0000

! LiTcNi2 | Alexandria | PBE | optimized geometry; values from VASP
! Density   7399 kg/m3
! ΔE_f   112.2 meV per atom
! Calculated total energy   -5.85 eV per atom
! Total magnetic moment   0.340 Bohr magnetons per cell
&SYSTEM
  ibrav = 0, nat = 4, ntyp = 3
/
ATOMIC_SPECIES
Li 6.94 Li.upf
Tc 98.00 Tc.upf
Ni 58.69 Ni.upf
ATOMIC_POSITIONS crystal
Li 0.0000 0.0000 0.0000
Tc 0.5000 0.5000 0.7081
Ni 0.0000 0.0000 0.4651
Ni 0.5000 0.5000 0.2453
CELL_PARAMETERS angstrom
2.5298 0.0000 0.0000
0.0000 2.5298 0.0000
0.0000 0.0000 7.7960

! LiTc4Ni | Alexandria | PBE | optimized geometry; values from VASP
! Density   8230 kg/m3
! ΔE_f   536.2 meV per atom
! Calculated total energy   -7.66 eV per atom
! Total magnetic moment   0.010 Bohr magnetons per cell
&SYSTEM
  ibrav = 0, nat = 6, ntyp = 3
/
ATOMIC_SPECIES
Li 6.94 Li.upf
Tc 98.00 Tc.upf
Ni 58.69 Ni.upf
ATOMIC_POSITIONS crystal
Li 0.0000 0.0000 0.0000
Tc 0.3752 0.3752 0.3752
Tc 0.3752 0.3752 0.8745
Tc 0.3752 0.8745 0.3752
Tc 0.8745 0.3752 0.3752
Ni 0.7500 0.7500 0.7500
CELL_PARAMETERS angstrom
0.0000 3.5875 3.5875
3.5875 0.0000 3.5875
3.5875 3.5875 0.0000

! LiTcNi6 | Alexandria | PBE | optimized geometry; values from VASP
! Density   8254 kg/m3
! ΔE_f   94.4 meV per atom
! Calculated total energy   -5.78 eV per atom
! Total magnetic moment   0.000 Bohr magnetons per cell
&SYSTEM
  ibrav = 0, nat = 8, ntyp = 3
/
ATOMIC_SPECIES
Li 6.94 Li.upf
Tc 98.00 Tc.upf
Ni 58.69 Ni.upf
ATOMIC_POSITIONS crystal
Li 0.0000 0.0000 0.0000
Tc 0.5000 0.5000 0.0000
Ni 0.1258 0.6258 0.5000
Ni 0.2544 0.2544 0.0000
Ni 0.3742 0.8742 0.5000
Ni 0.6258 0.1258 0.5000
Ni 0.7456 0.7456 0.0000
Ni 0.8742 0.3742 0.5000
CELL_PARAMETERS angstrom
-2.1166 2.1166 5.1313
2.1166 -2.1166 5.1313
2.1166 2.1166 -5.1313

! LiTcNi2 | Alexandria | PBE | optimized geometry; values from VASP
! Density   7522 kg/m3
! ΔE_f   19.2 meV per atom
! Calculated total energy   -5.94 eV per atom
! Total magnetic moment   0.000 Bohr magnetons per cell
&SYSTEM
  ibrav = 0, nat = 4, ntyp = 3
/
ATOMIC_SPECIES
Li 6.94 Li.upf
Tc 98.00 Tc.upf
Ni 58.69 Ni.upf
ATOMIC_POSITIONS crystal
Li 0.0000 0.0000 0.0000
Tc 0.0000 0.0000 0.5000
Ni 0.5000 0.5000 0.2509
Ni 0.5000 0.5000 0.7491
CELL_PARAMETERS angstrom
2.6196 0.0000 0.0000
0.0000 2.6196 0.0000
0.0000 0.0000 7.1517

! LiTcNi2 | Alexandria | PBE | optimized geometry; values from VASP
! Density   7327 kg/m3
! ΔE_f   101.3 meV per atom
! Calculated total energy   -5.86 eV per atom
! Total magnetic moment   0.000 Bohr magnetons per cell
&SYSTEM
  ibrav = 0, nat = 4, ntyp = 3
/
ATOMIC_SPECIES
Li 6.94 Li.upf
Tc 98.00 Tc.upf
Ni 58.69 Ni.upf
ATOMIC_POSITIONS crystal
Li 0.0000 0.0000 0.0000
Tc 0.5000 0.5000 0.5000
Ni 0.2491 0.2491 0.2491
Ni 0.7509 0.7509 0.7509
CELL_PARAMETERS angstrom
1.3075 0.7549 8.5086
-1.3075 0.7549 8.5086
0.0000 -1.5098 8.5086